#P
The following is a DFT calculation (PBE) of a relaxed Mn3ZnAu crystal.

Results
Crystal system = cubic
Total magnetic moment = 11.84 μB/f.u.

Geometry as POSCAR:
```
Mn3ZnAu
1.0
4.5807 0.0000 0.0000
0.0000 4.5807 0.0000
0.0000 0.0000 4.5807
Mn Zn Au
3 1 1
direct
0.0000 0.0000 0.5000 Mn
0.0000 0.5000 0.0000 Mn
0.5000 0.0000 0.0000 Mn
0.0000 0.0000 0.0000 Zn
0.5000 0.5000 0.5000 Au
```

---

#Q
The following is a DFT calculation (PBE) of a relaxed Mn3ZnAu crystal.

Results
Crystal system = cubic
Total magnetic moment = 13.43 μB/f.u.

Geometry as POSCAR:
```
Mn3ZnAu
1.0
4.9890 0.0000 0.0000
0.0000 4.9890 0.0000
0.0000 0.0000 4.9890
Mn Zn Au
3 1 1
direct
0.0000 0.0000 0.5000 Mn
0.0000 0.5000 0.0000 Mn
0.5000 0.0000 0.0000 Mn
0.5000 0.5000 0.5000 Zn
0.0000 0.0000 0.0000 Au
```

---

Least stable = #Q

---

#P
The following is a DFT calculation (PBE) of a relaxed MnZn6Au12 crystal.

Results
Crystal system = trigonal
Total magnetic moment = 3.67 μB/f.u.

Geometry as POSCAR:
```
MnZn6Au12
1.0
6.0238 3.4779 2.7123
-6.0238 3.4779 2.7123
0.0000 -6.9557 2.7123
Mn Zn Au
1 6 12
direct
0.0000 0.0000 0.0000 Mn
0.0930 0.2019 0.4701 Zn
0.2019 0.4701 0.0930 Zn
0.4701 0.0930 0.2019 Zn
0.5299 0.9070 0.7981 Zn
0.7981 0.5299 0.9070 Zn
0.9070 0.7981 0.5299 Zn
0.1059 0.8326 0.2705 Au
0.1674 0.7295 0.8941 Au
0.1874 0.5861 0.4803 Au
0.2705 0.1059 0.8326 Au
0.4139 0.5197 0.8126 Au
0.4803 0.1874 0.5861 Au
0.5197 0.8126 0.4139 Au
0.5861 0.4803 0.1874 Au
0.7295 0.8941 0.1674 Au
0.8126 0.4139 0.5197 Au
0.8326 0.2705 0.1059 Au
0.8941 0.1674 0.7295 Au
```

---

#Q
The following is a DFT calculation (PBE) of a relaxed MnZn6Au12 crystal.

Results
Crystal system = trigonal
Total magnetic moment = 4.42 μB/f.u.

Geometry as POSCAR:
```
MnZn6Au12
1.0
6.2751 3.6229 2.3507
-6.2751 3.6229 2.3507
0.0000 -7.2459 2.3507
Mn Zn Au
1 6 12
direct
0.0000 0.0000 0.0000 Mn
0.0516 0.5779 0.3573 Zn
0.3573 0.0516 0.5779 Zn
0.4221 0.6427 0.9484 Zn
0.5779 0.3573 0.0516 Zn
0.6427 0.9484 0.4221 Zn
0.9484 0.4221 0.6427 Zn
0.1130 0.1638 0.7372 Au
0.1638 0.7372 0.1130 Au
0.2012 0.3341 0.4732 Au
0.2628 0.8870 0.8362 Au
0.3341 0.4732 0.2012 Au
0.4732 0.2012 0.3341 Au
0.5268 0.7988 0.6659 Au
0.6659 0.5268 0.7988 Au
0.7372 0.1130 0.1638 Au
0.7988 0.6659 0.5268 Au
0.8362 0.2628 0.8870 Au
0.8870 0.8362 0.2628 Au
```

---

Least stable = #P

---

#P
The following is a DFT calculation (PBE) of a relaxed Zr3MnAu crystal.

Results
Crystal system = cubic
Total magnetic moment = 0.00 μB/f.u.

Geometry as POSCAR:
```
Zr3MnAu
1.0
4.7765 0.0000 0.0000
0.0000 4.7765 0.0000
0.0000 0.0000 4.7765
Zr Mn Au
3 1 1
direct
0.0000 0.0000 0.5000 Zr
0.0000 0.5000 0.0000 Zr
0.5000 0.0000 0.0000 Zr
0.0000 0.0000 0.0000 Mn
0.5000 0.5000 0.5000 Au
```

---

#Q
The following is a DFT calculation (PBE) of a relaxed Zr3MnAu crystal.

Results
Crystal system = cubic
Total magnetic moment = 0.80 μB/f.u.

Geometry as POSCAR:
```
Zr3MnAu
1.0
5.1236 0.0000 0.0000
0.0000 5.1236 0.0000
0.0000 0.0000 5.1236
Zr Mn Au
3 1 1
direct
0.0000 0.0000 0.5000 Zr
0.0000 0.5000 0.0000 Zr
0.5000 0.0000 0.0000 Zr
0.5000 0.5000 0.5000 Mn
0.0000 0.0000 0.0000 Au
```

---

Least stable = #Q

---

#P
The following is a DFT calculation (PBE) of a relaxed ZrMn2Au2 crystal.

Results
Crystal system = tetragonal
Total magnetic moment = 0.00 μB/f.u.

Geometry as POSCAR:
```
ZrMn2Au2
1.0
7.0165 0.0000 0.0000
0.0000 7.0165 0.0000
0.0000 0.0000 3.3071
Zr Mn Au
2 4 4
direct
0.0000 0.0000 0.0000 Zr
0.5000 0.5000 0.0000 Zr
0.1011 0.3989 0.0000 Mn
0.3989 0.8989 0.0000 Mn
0.6011 0.1011 0.0000 Mn
0.8989 0.6011 0.0000 Mn
0.1912 0.6912 0.5000 Au
0.3088 0.1912 0.5000 Au
0.6912 0.8088 0.5000 Au
0.8088 0.3088 0.5000 Au
```

---

#Q
The following is a DFT calculation (PBE) of a relaxed ZrMn2Au2 crystal.

Results
Crystal system = tetragonal
Total magnetic moment = 0.01 μB/f.u.

Geometry as POSCAR:
```
ZrMn2Au2
1.0
-1.7567 1.7567 6.7713
1.7567 -1.7567 6.7713
1.7567 1.7567 -6.7713
Zr Mn Au
1 2 2
direct
0.0000 0.0000 0.0000 Zr
0.2500 0.7500 0.5000 Mn
0.7500 0.2500 0.5000 Mn
0.3962 0.3962 0.0000 Au
0.6038 0.6038 0.0000 Au
```

---

Least stable = #Q

---

#P
The following is a DFT calculation (PBE) of a relaxed ZrMnAu crystal.

Results
Crystal system = monoclinic
Total magnetic moment = 2.45 μB/f.u.

Geometry as POSCAR:
```
ZrMnAu
1.0
3.9066 0.0000 0.0000
0.0000 4.2790 0.0000
-1.9495 0.0000 6.4096
Zr Mn Au
2 2 2
direct
0.0934 0.2500 0.1853 Zr
0.9066 0.7500 0.8147 Zr
0.2452 0.7500 0.4897 Mn
0.7548 0.2500 0.5103 Mn
0.4068 0.2500 0.8152 Au
0.5932 0.7500 0.1848 Au
```

---

#Q
The following is a DFT calculation (PBE) of a relaxed ZrMnAu crystal.

Results
Crystal system = orthorhombic
Total magnetic moment = 2.96 μB/f.u.

Geometry as POSCAR:
```
ZrMnAu
1.0
-1.7112 1.7362 4.5626
1.7112 -1.7362 4.5626
1.7112 1.7362 -4.5626
Zr Mn Au
1 1 1
direct
0.0000 0.0000 0.0000 Zr
0.3369 0.3369 0.0000 Mn
0.6755 0.6755 0.0000 Au
```

---

Least stable = #P

---

#P
The following is a DFT calculation (PBE) of a relaxed ZrMnAu crystal.

Results
Crystal system = cubic
Total magnetic moment = 4.07 μB/f.u.

Geometry as POSCAR:
```
ZrMnAu
1.0
0.0000 3.1986 3.1986
3.1986 0.0000 3.1986
3.1986 3.1986 0.0000
Zr Mn Au
1 1 1
direct
0.0000 0.0000 0.0000 Zr
0.5000 0.5000 0.5000 Mn
0.2500 0.2500 0.2500 Au
```

---

#Q
The following is a DFT calculation (PBE) of a relaxed ZrMnAu crystal.

Results
Crystal system = trigonal
Total magnetic moment = 3.43 μB/f.u.

Geometry as POSCAR:
```
ZrMnAu
1.0
3.0684 0.0000 0.0000
-1.5342 2.6573 0.0000
0.0000 0.0000 6.8657
Zr Mn Au
1 1 1
direct
0.0000 0.0000 0.0000 Zr
0.3333 0.6667 0.6667 Mn
0.6667 0.3333 0.3542 Au
```

---

Least stable = #P